The following is a PBE calculation of a relaxed KSrTi2F crystal, from Alexandria via LeMat-Bulk.

It has space group P4/mmm (No. 123), with a = 4.375 Å, b = 4.375 Å, c = 7.379 Å, α = 90.00°, β = 90.00° and γ = 90.00°. The asymmetric unit holds K at (0.000, 0.000, 0.000), Sr at (0.000, 0.000, 0.500), Ti at (0.000, 0.500, 0.000) and F at (0.500, 0.500, 0.500).

The formation energy without anion corrections comes out at 1.269 eV per atom. Its mass density is 2.839 g cm⁻³.